No. 1
VASP calculation (GGA-PBE) on a geometry-optimized Tb12Be3H5 structure.

```
data_Tb12Be3H5
_chemical_formula_sum 'Tb48 Be12 H20'
_symmetry_space_group_name_H-M 'P 1'
_symmetry_Int_Tables_number 1
_symmetry_space_group_name_Hall 'P 1'
_cell_length_a 13.0629
_cell_length_b 13.0629
_cell_length_c 13.0629
_cell_angle_alpha 109.47
_cell_angle_beta 109.47
_cell_angle_gamma 109.47
loop_
_atom_site_label
_atom_site_type_symbol
_atom_site_fract_x
_atom_site_fract_y
_atom_site_fract_z
Tb1 Tb 0.0243 0.2138 0.1176
Tb2 Tb 0.0243 0.3105 0.9067
Tb3 Tb 0.0933 0.6176 0.4038
Tb4 Tb 0.0933 0.9757 0.6895
Tb5 Tb 0.0962 0.7138 0.6895
Tb6 Tb 0.0962 0.8824 0.4067
Tb7 Tb 0.1176 0.0243 0.2138
Tb8 Tb 0.1176 0.5933 0.9038
Tb9 Tb 0.1895 0.2138 0.5962
Tb10 Tb 0.1895 0.4757 0.5933
Tb11 Tb 0.2138 0.1176 0.0243
Tb12 Tb 0.2138 0.5962 0.1895
Tb13 Tb 0.2862 0.3105 0.9038
Tb14 Tb 0.2862 0.4757 0.3824
Tb15 Tb 0.3105 0.9038 0.2862
Tb16 Tb 0.3105 0.9067 0.0243
Tb17 Tb 0.3824 0.2862 0.4757
Tb18 Tb 0.3824 0.5962 0.9067
Tb19 Tb 0.4038 0.0933 0.6176
Tb20 Tb 0.4038 0.8105 0.7862
Tb21 Tb 0.4067 0.0962 0.8824
Tb22 Tb 0.4067 0.8105 0.5243
Tb23 Tb 0.4757 0.3824 0.2862
Tb24 Tb 0.4757 0.5933 0.1895
Tb25 Tb 0.5243 0.4067 0.8105
Tb26 Tb 0.5243 0.6176 0.7138
Tb27 Tb 0.5933 0.1895 0.4757
Tb28 Tb 0.5933 0.9038 0.1176
Tb29 Tb 0.5962 0.1895 0.2138
Tb30 Tb 0.5962 0.9067 0.3824
Tb31 Tb 0.6176 0.4038 0.0933
Tb32 Tb 0.6176 0.7138 0.5243
Tb33 Tb 0.6895 0.0933 0.9757
Tb34 Tb 0.6895 0.0962 0.7138
Tb35 Tb 0.7138 0.5243 0.6176
Tb36 Tb 0.7138 0.6895 0.0962
Tb37 Tb 0.7862 0.4038 0.8105
Tb38 Tb 0.7862 0.8824 0.9757
Tb39 Tb 0.8105 0.5243 0.4067
Tb40 Tb 0.8105 0.7862 0.4038
Tb41 Tb 0.8824 0.4067 0.0962
Tb42 Tb 0.8824 0.9757 0.7862
Tb43 Tb 0.9038 0.1176 0.5933
Tb44 Tb 0.9038 0.2862 0.3105
Tb45 Tb 0.9067 0.0243 0.3105
Tb46 Tb 0.9067 0.3824 0.5962
Tb47 Tb 0.9757 0.6895 0.0933
Tb48 Tb 0.9757 0.7862 0.8824
Be1 Be 0.1250 0.2500 0.3750
Be2 Be 0.1250 0.3750 0.7500
Be3 Be 0.2500 0.3750 0.1250
Be4 Be 0.2500 0.8750 0.6250
Be5 Be 0.3750 0.1250 0.2500
Be6 Be 0.3750 0.7500 0.1250
Be7 Be 0.6250 0.2500 0.8750
Be8 Be 0.6250 0.8750 0.7500
Be9 Be 0.7500 0.1250 0.3750
Be10 Be 0.7500 0.6250 0.8750
Be11 Be 0.8750 0.6250 0.2500
Be12 Be 0.8750 0.7500 0.6250
H1 H 0.0000 0.0000 0.0000
H2 H 0.0000 0.0000 0.5000
H3 H 0.0000 0.5000 0.0000
H4 H 0.0000 0.5000 0.5000
H5 H 0.1250 0.7500 0.8750
H6 H 0.1250 0.8750 0.2500
H7 H 0.2500 0.1250 0.8750
H8 H 0.2500 0.6250 0.3750
H9 H 0.3750 0.2500 0.6250
H10 H 0.3750 0.6250 0.7500
H11 H 0.5000 0.0000 0.0000
H12 H 0.5000 0.0000 0.5000
H13 H 0.5000 0.5000 0.0000
H14 H 0.5000 0.5000 0.5000
H15 H 0.6250 0.3750 0.2500
H16 H 0.6250 0.7500 0.3750
H17 H 0.7500 0.3750 0.6250
H18 H 0.7500 0.8750 0.1250
H19 H 0.8750 0.1250 0.7500
H20 H 0.8750 0.2500 0.1250
```

Results
Space group: No. 230
Fermi-level density of states (states/eV/cell): 88.273
Total magnetization (μB/f.u.): 0.00
Calculated total energy (eV/atom): -4.263

---

No. 2
VASP calculation (GGA-PBE) on a geometry-optimized MnOsSeBr2 structure.

```
data_MnOsSeBr2
_chemical_formula_sum 'Mn1 Os1 Se1 Br2'
_symmetry_space_group_name_H-M 'P 1'
_symmetry_Int_Tables_number 1
_symmetry_space_group_name_Hall 'P 1'
_cell_length_a 4.9529
_cell_length_b 4.9529
_cell_length_c 5.1969
_cell_angle_alpha 90.00
_cell_angle_beta 90.00
_cell_angle_gamma 90.00
loop_
_atom_site_label
_atom_site_type_symbol
_atom_site_fract_x
_atom_site_fract_y
_atom_site_fract_z
Mn1 Mn 0.0000 0.0000 0.0000
Os1 Os 0.5000 0.5000 0.5000
Se1 Se 0.0000 0.0000 0.5000
Br1 Br 0.0000 0.5000 0.0000
Br2 Br 0.5000 0.0000 0.0000
```

Results
Space group: No. 123
Fermi-level density of states (states/eV/cell): 5.246
Total magnetization (μB/f.u.): 8.57
ΔE_f (raw) (meV/atom): 1104
ΔE to the lowest computed polymorph (kJ per mole of atoms): 41.3
Calculated total energy (eV/atom): -4.341

---

No. 3
VASP calculation (GGA-PBE) on a geometry-optimized Ni2SeBr structure.

```
data_Ni2SeBr
_chemical_formula_sum 'Ni2 Se1 Br1'
_symmetry_space_group_name_H-M 'P 1'
_symmetry_Int_Tables_number 1
_symmetry_space_group_name_Hall 'P 1'
_cell_length_a 4.5299
_cell_length_b 4.5299
_cell_length_c 4.5299
_cell_angle_alpha 60.00
_cell_angle_beta 60.00
_cell_angle_gamma 60.00
loop_
_atom_site_label
_atom_site_type_symbol
_atom_site_fract_x
_atom_site_fract_y
_atom_site_fract_z
Ni1 Ni 0.0000 0.0000 0.0000
Ni2 Ni 0.2500 0.2500 0.2500
Se1 Se 0.5000 0.5000 0.5000
Br1 Br 0.7500 0.7500 0.7500
```

Results
Space group: No. 216
Fermi-level density of states (states/eV/cell): 5.435
Total magnetization (μB/f.u.): 0.00
ΔE_f (raw) (meV/atom): 851
ΔE to the lowest computed polymorph (kJ per mole of atoms): 95.6
Calculated total energy (eV/atom): -3.330

---

No. 4
VASP calculation (GGA-PBE) on a geometry-optimized ErMo6Se8 structure.

```
data_ErMo6Se8
_chemical_formula_sum 'Er1 Mo6 Se8'
_symmetry_space_group_name_H-M 'P 1'
_symmetry_Int_Tables_number 1
_symmetry_space_group_name_Hall 'P 1'
_cell_length_a 6.7565
_cell_length_b 6.7565
_cell_length_c 6.7565
_cell_angle_alpha 89.28
_cell_angle_beta 89.28
_cell_angle_gamma 89.28
loop_
_atom_site_label
_atom_site_type_symbol
_atom_site_fract_x
_atom_site_fract_y
_atom_site_fract_z
Er1 Er 0.0000 0.0000 0.0000
Mo1 Mo 0.2323 0.5581 0.4242
Mo2 Mo 0.4242 0.2323 0.5581
Mo3 Mo 0.4420 0.5758 0.7677
Mo4 Mo 0.5581 0.4242 0.2323
Mo5 Mo 0.5758 0.7677 0.4420
Mo6 Mo 0.7677 0.4420 0.5758
Se1 Se 0.1234 0.3675 0.7575
Se2 Se 0.2359 0.2359 0.2359
Se3 Se 0.2425 0.8766 0.6325
Se4 Se 0.3675 0.7575 0.1234
Se5 Se 0.6325 0.2425 0.8766
Se6 Se 0.7575 0.1234 0.3675
Se7 Se 0.7641 0.7641 0.7641
Se8 Se 0.8766 0.6325 0.2425
```

Results
Space group: No. 148
Fermi-level density of states (states/eV/cell): 7.305
Total magnetization (μB/f.u.): 0.00
ΔE_f (raw) (meV/atom): -701
Calculated total energy (eV/atom): -7.196

---

No. 5
VASP calculation (GGA-PBE) on a geometry-optimized BaCuP2Cl structure.

```
data_BaCuP2Cl
_chemical_formula_sum 'Ba1 Cu1 P2 Cl1'
_symmetry_space_group_name_H-M 'P 1'
_symmetry_Int_Tables_number 1
_symmetry_space_group_name_Hall 'P 1'
_cell_length_a 4.4475
_cell_length_b 4.4475
_cell_length_c 6.1847
_cell_angle_alpha 90.00
_cell_angle_beta 90.00
_cell_angle_gamma 90.00
loop_
_atom_site_label
_atom_site_type_symbol
_atom_site_fract_x
_atom_site_fract_y
_atom_site_fract_z
Ba1 Ba 0.0000 0.0000 0.0000
Cu1 Cu 0.5000 0.5000 0.5000
P1 P 0.0000 0.5000 0.5000
P2 P 0.5000 0.0000 0.5000
Cl1 Cl 0.5000 0.5000 0.0000
```

Results
Space group: No. 123
Fermi-level density of states (states/eV/cell): 3.798
Total magnetization (μB/f.u.): 0.54
ΔE_f (raw) (meV/atom): -497
ΔE to the lowest computed polymorph (kJ per mole of atoms): 0.0
Calculated total energy (eV/atom): -4.234

---

No. 6
VASP calculation (GGA-PBE) on a geometry-optimized NbVCoPt structure.

```
data_NbVCoPt
_chemical_formula_sum 'Nb1 V1 Co1 Pt1'
_symmetry_space_group_name_H-M 'P 1'
_symmetry_Int_Tables_number 1
_symmetry_space_group_name_Hall 'P 1'
_cell_length_a 3.7266
_cell_length_b 3.8922
_cell_length_c 3.9294
_cell_angle_alpha 90.00
_cell_angle_beta 90.00
_cell_angle_gamma 90.00
loop_
_atom_site_label
_atom_site_type_symbol
_atom_site_fract_x
_atom_site_fract_y
_atom_site_fract_z
Nb1 Nb 0.0000 0.0000 0.0000
V1 V 0.5000 0.0000 0.5000
Co1 Co 0.5000 0.5000 0.0000
Pt1 Pt 0.0000 0.5000 0.5000
```

Results
Space group: No. 47
Fermi-level density of states (states/eV/cell): 3.155
Total magnetization (μB/f.u.): 0.00
Formation energy from the elements (eV per atom): -0.355
ΔE to the lowest computed polymorph (kJ per mole of atoms): 0.0
Calculated total energy (eV/atom): -8.439

---

No. 7
VASP calculation (GGA-PBE) on a geometry-optimized NbTeHPdICl structure.

```
data_NbTeHPdICl
_chemical_formula_sum 'Nb1 Te1 H1 Pd1 I1 Cl1'
_symmetry_space_group_name_H-M 'P 1'
_symmetry_Int_Tables_number 1
_symmetry_space_group_name_Hall 'P 1'
_cell_length_a 3.4620
_cell_length_b 6.9357
_cell_length_c 7.2662
_cell_angle_alpha 62.90
_cell_angle_beta 77.13
_cell_angle_gamma 89.36
loop_
_atom_site_label
_atom_site_type_symbol
_atom_site_fract_x
_atom_site_fract_y
_atom_site_fract_z
Nb1 Nb 0.0000 0.0000 0.0000
Te1 Te 0.7224 0.2872 0.6667
H1 H 0.0091 0.2379 0.0311
Pd1 Pd 0.2453 0.0316 0.5992
I1 I 0.4704 0.6502 0.0287
Cl1 Cl 0.3773 0.9321 0.3001
```

Results
Space group: No. 1
Fermi-level density of states (states/eV/cell): 0.441
Total magnetization (μB/f.u.): 0.00
ΔE to the lowest computed polymorph (kJ per mole of atoms): 10.0
Calculated total energy (eV/atom): -4.463

---

No. 8
VASP calculation (GGA-PBE) on a geometry-optimized FeNi3P structure.

```
data_FeNi3P
_chemical_formula_sum 'Fe1 Ni3 P1'
_symmetry_space_group_name_H-M 'P 1'
_symmetry_Int_Tables_number 1
_symmetry_space_group_name_Hall 'P 1'
_cell_length_a 4.2655
_cell_length_b 4.2655
_cell_length_c 4.2655
_cell_angle_alpha 90.00
_cell_angle_beta 90.00
_cell_angle_gamma 90.00
loop_
_atom_site_label
_atom_site_type_symbol
_atom_site_fract_x
_atom_site_fract_y
_atom_site_fract_z
Fe1 Fe 0.0000 0.0000 0.0000
Ni1 Ni 0.0000 0.0000 0.5000
Ni2 Ni 0.0000 0.5000 0.0000
Ni3 Ni 0.5000 0.0000 0.0000
P1 P 0.5000 0.5000 0.5000
```

Results
Space group: No. 221
Fermi-level density of states (states/eV/cell): 4.362
Total magnetization (μB/f.u.): 4.95
Formation energy from the elements (eV per atom): 1.141
ΔE to the lowest computed polymorph (kJ per mole of atoms): 84.3
Calculated total energy (eV/atom): -5.102

---

No. 9
VASP calculation (GGA-PBE) on a geometry-optimized AgW2 structure.

```
data_AgW2
_chemical_formula_sum 'Ag3 W6'
_symmetry_space_group_name_H-M 'P 1'
_symmetry_Int_Tables_number 1
_symmetry_space_group_name_Hall 'P 1'
_cell_length_a 8.0470
_cell_length_b 8.0470
_cell_length_c 2.6477
_cell_angle_alpha 90.00
_cell_angle_beta 90.00
_cell_angle_gamma 120.00
loop_
_atom_site_label
_atom_site_type_symbol
_atom_site_fract_x
_atom_site_fract_y
_atom_site_fract_z
Ag1 Ag 0.0000 0.0000 0.0000
Ag2 Ag 0.3333 0.6667 0.5000
Ag3 Ag 0.6667 0.3333 0.5000
W1 W 0.0000 0.3189 0.5000
W2 W 0.0000 0.6531 0.0000
W3 W 0.3189 0.0000 0.5000
W4 W 0.3469 0.3469 0.0000
W5 W 0.6531 0.0000 0.0000
W6 W 0.6811 0.6811 0.5000
```

Results
Space group: No. 189
Fermi-level density of states (states/eV/cell): 7.169
Total magnetization (μB/f.u.): 0.00
Formation energy from the elements (eV per atom): 0.603
ΔE to the lowest computed polymorph (kJ per mole of atoms): 9.7
Calculated total energy (eV/atom): -8.983

---

No. 10
VASP calculation (GGA-PBE) on a geometry-optimized NaCa6In3 structure.

```
data_NaCa6In3
_chemical_formula_sum 'Na2 Ca12 In6'
_symmetry_space_group_name_H-M 'P 1'
_symmetry_Int_Tables_number 1
_symmetry_space_group_name_Hall 'P 1'
_cell_length_a 10.3852
_cell_length_b 5.4648
_cell_length_c 11.8179
_cell_angle_alpha 90.00
_cell_angle_beta 101.27
_cell_angle_gamma 90.00
loop_
_atom_site_label
_atom_site_type_symbol
_atom_site_fract_x
_atom_site_fract_y
_atom_site_fract_z
Na1 Na 0.0407 0.2500 0.4094
Na2 Na 0.9593 0.7500 0.5906
Ca1 Ca 0.0907 0.7500 0.9041
Ca2 Ca 0.1428 0.7500 0.2029
Ca3 Ca 0.2047 0.2500 0.7338
Ca4 Ca 0.2912 0.7500 0.5225
Ca5 Ca 0.3669 0.2500 0.3134
Ca6 Ca 0.4458 0.7500 0.0878
Ca7 Ca 0.5542 0.2500 0.9122
Ca8 Ca 0.6331 0.7500 0.6866
Ca9 Ca 0.7088 0.2500 0.4775
Ca10 Ca 0.7953 0.7500 0.2662
Ca11 Ca 0.8572 0.2500 0.7971
Ca12 Ca 0.9093 0.2500 0.0959
In1 In 0.2208 0.2500 0.0345
In2 In 0.3698 0.7500 0.7997
In3 In 0.4658 0.2500 0.6209
In4 In 0.5342 0.7500 0.3791
In5 In 0.6302 0.2500 0.2003
In6 In 0.7792 0.7500 0.9655
```

Results
Space group: No. 11
Fermi-level density of states (states/eV/cell): 11.285
Total magnetization (μB/f.u.): 0.00
Formation energy from the elements (eV per atom): -0.278
Calculated total energy (eV/atom): -2.433

---

No. 11
VASP calculation (GGA-PBE) on a geometry-optimized Ta4SbPb structure.

```
data_Ta4SbPb
_chemical_formula_sum 'Ta4 Sb1 Pb1'
_symmetry_space_group_name_H-M 'P 1'
_symmetry_Int_Tables_number 1
_symmetry_space_group_name_Hall 'P 1'
_cell_length_a 5.6326
_cell_length_b 5.6326
_cell_length_c 5.6326
_cell_angle_alpha 60.00
_cell_angle_beta 60.00
_cell_angle_gamma 60.00
loop_
_atom_site_label
_atom_site_type_symbol
_atom_site_fract_x
_atom_site_fract_y
_atom_site_fract_z
Ta1 Ta 0.1245 0.1245 0.1245
Ta2 Ta 0.1245 0.1245 0.6264
Ta3 Ta 0.1245 0.6264 0.1245
Ta4 Ta 0.6264 0.1245 0.1245
Sb1 Sb 0.5000 0.5000 0.5000
Pb1 Pb 0.7500 0.7500 0.7500
```

Results
Space group: No. 216
Fermi-level density of states (states/eV/cell): 6.822
Total magnetization (μB/f.u.): 0.00
ΔE_f (raw) (meV/atom): 472
Calculated total energy (eV/atom): -8.735

---

No. 12
VASP calculation (GGA-PBE) on a geometry-optimized BaLaB2Au structure.

```
data_BaLaB2Au
_chemical_formula_sum 'Ba1 La1 B2 Au1'
_symmetry_space_group_name_H-M 'P 1'
_symmetry_Int_Tables_number 1
_symmetry_space_group_name_Hall 'P 1'
_cell_length_a 4.9067
_cell_length_b 4.9067
_cell_length_c 5.7389
_cell_angle_alpha 90.00
_cell_angle_beta 90.00
_cell_angle_gamma 90.00
loop_
_atom_site_label
_atom_site_type_symbol
_atom_site_fract_x
_atom_site_fract_y
_atom_site_fract_z
Ba1 Ba 0.0000 0.0000 0.0000
La1 La 0.5000 0.5000 0.5000
B1 B 0.0000 0.5000 0.0000
B2 B 0.5000 0.0000 0.0000
Au1 Au 0.0000 0.0000 0.5000
```

Results
Space group: No. 123
Fermi-level density of states (states/eV/cell): 4.744
Total magnetization (μB/f.u.): 0.00
Formation energy from the elements (eV per atom): 1.436
Calculated total energy (eV/atom): -3.261

---

total magnetization of number 11 (Ta4SbPb)?
0.00 μB/f.u.